The following is a DFT calculation (PBE+U) of crystalline Li3Co2C4O12 at its relaxed geometry.

Computed properties:
- DFT total energy: -6.824 eV per atom

a b c (Å): 5.432 6.303 8.443
angles (deg): 84.13 72.67 64.78
Fractional coordinates of all 21 atoms:
Li (0.000, 0.000, 0.000)
Li (0.091, 0.473, 0.822)
Li (0.370, 0.903, 0.367)
Co (0.498, 0.459, 0.183)
Co (0.707, 0.949, 0.675)
C (0.167, 0.561, 0.464)
C (0.559, 0.350, 0.890)
C (0.577, 0.834, 0.979)
C (0.761, 0.077, 0.380)
O (0.110, 0.505, 0.340)
O (0.324, 0.426, 0.012)
O (0.408, 0.893, 0.887)
O (0.412, 0.570, 0.427)
O (0.503, 0.771, 0.132)
O (0.547, 0.037, 0.469)
O (0.554, 0.292, 0.751)
O (0.770, 0.150, 0.227)
O (0.785, 0.336, 0.925)
O (0.824, 0.837, 0.915)
O (0.962, 0.040, 0.443)
O (0.995, 0.606, 0.611)